First-principles (PBE with a Hubbard U) data for SrPWO2 after structural relaxation, as listed in Alexandria via LeMat-Bulk.

Cell and atoms, written as POSCAR:
```
SrPWO2
1.0
4.311 0.000 0.000
0.000 4.311 0.000
0.000 0.000 5.958
Sr O W P
1 2 1 1
Direct
0.000 0.000 0.000
0.000 0.500 0.000
0.500 0.000 0.000
0.500 0.500 0.500
0.000 0.000 0.500
```

The value obtained for the theoretical density is 5.02 g/cm3. The size of the total moment comes out at 4.18 μB per cell. The value obtained for the total energy is -4.40 eV/atom.